First-principles (PBE) data for a relaxed ErPa6Se12 crystal, as listed in Alexandria.

Its uncorrected formation energy is -1.326 eV/atom. The calculation puts the spin magnetization at 9.07 μB per formula unit.

The structure in extended XYZ format:
```
19
Lattice="8.2784 -0.1103 -0.1321 -1.3641 8.1660 -0.1321 -1.3641 -1.5892 8.0110" Properties=species:S:1:pos:R:3 pbc="T T T"
Pa 5.7225 1.8099 5.3722
Se 3.0664 2.1780 6.4594
Pa 1.5129 0.0578 5.0059
Se 7.4129 2.4611 0.3653
Se 2.4839 4.2885 1.2873
Se 5.4324 3.9355 3.2972
Se 1.3089 -1.0166 7.6417
Pa 4.6288 2.2405 0.9514
Er 0.0000 0.0000 0.0000
Pa -0.1722 4.6566 2.3745
Se -1.2033 7.3151 2.4868
Se 4.2414 7.4831 0.1050
Se 6.7536 -0.8486 5.2599
Se 0.1179 2.5310 4.4495
Se -1.8626 4.0053 7.3814
Se 1.6880 5.7548 4.4613
Pa 4.0374 6.4087 2.7408
Pa 0.9215 4.2260 6.7953
Se 3.8624 0.7117 3.2854
```